[1]
Density functional theory data (PBE-GGA) for a relaxed BaPm3Ge2 crystal.

* energy of formation: -41 kJ per mole of atoms
* space group: C2/m, No. 12
* total moment: 0.000 μB per atom
* N(E_F): 12.112 states/eV per cell
* total DFT energy (no corrections): -4.656 eV/atom

a b c (Å): 4.8764 9.5367 9.6689
angles (deg): 115.91 90.00 104.81
Positions (direct):
1 Ba 0.8599 0.7197 0.9305
2 Ba 0.1401 0.2803 0.0695
3 Pm 0.3153 0.6306 0.5816
4 Pm 0.9528 0.9056 0.6319
5 Pm 0.5996 0.1991 0.6936
6 Pm 0.4004 0.8009 0.3064
7 Pm 0.0472 0.0944 0.3681
8 Pm 0.6847 0.3694 0.4184
9 Ge 0.4892 0.9785 0.8549
10 Ge 0.5108 0.0215 0.1451
11 Ge 0.8071 0.6143 0.3039
12 Ge 0.1929 0.3857 0.6961


[2]
Density functional theory data (PBE-GGA) for a relaxed Ho8Bi2Rh3 crystal.

* energy of formation: -59 kJ per mole of atoms
* space group: P2/m, No. 10
* total moment: 0.000 μB per atom
* N(E_F): 7.881 states/eV per cell
* total DFT energy (no corrections): -5.726 eV/atom

a b c (Å): 4.8354 9.7592 9.0691
angles (deg): 122.52 90.00 90.00
Positions (direct):
1 Ho 0.0000 0.6065 0.2127
2 Ho 0.0000 0.3935 0.7873
3 Ho 0.0000 0.1103 0.2205
4 Ho 0.0000 0.8897 0.7795
5 Ho 0.5000 0.6452 0.7840
6 Ho 0.5000 0.1382 0.7831
7 Ho 0.5000 0.8618 0.2169
8 Ho 0.5000 0.3548 0.2160
9 Bi 0.5000 0.2558 0.5106
10 Bi 0.5000 0.7442 0.4894
11 Rh 0.5000 0.0000 0.0000
12 Rh 0.0000 0.2473 0.9997
13 Rh 0.0000 0.7527 0.0003


[3]
Density functional theory data (PBE-GGA) for a relaxed CaCrS2Cl crystal.

* space group: P4/mmm, No. 123
* total moment: 0.598 μB per atom
* N(E_F): 3.179 states/eV per cell
* energy relative to the elements, uncorrected: -0.6 eV per formula unit
* total DFT energy (no corrections): -4.460 eV/atom

a b c (Å): 5.3095 5.3095 5.1024
angles (deg): 90.00 90.00 90.00
Each line ends with the local moment (μB).
Positions (direct):
1 Cr 0.5000 0.5000 0.5000  4.18
2 Ca 0.0000 0.0000 0.0000  0.00
3 S 0.0000 0.5000 0.0000  -0.50
4 S 0.5000 0.0000 0.0000  -0.50
5 Cl 0.0000 0.0000 0.5000  -0.05


[4]
Density functional theory data (PBE-GGA) for a relaxed EuDyNi crystal.

* energy of formation: -10 kJ per mole of atoms
* space group: P3m1, No. 156
* total moment: 2.447 μB per atom
* N(E_F): 7.619 states/eV per cell
* total DFT energy (no corrections): -6.984 eV/atom

a b c (Å): 3.9659 3.9659 6.4438
angles (deg): 90.00 90.00 120.00
Each line ends with the local moment (μB).
Positions (direct):
1 Eu 0.0000 0.0000 0.0837  6.88
2 Ni 0.6667 0.3333 0.3514  -0.05
3 Dy 0.3333 0.6667 0.5649  0.07


Number 1: volume 388 Å³ per cell. Number 2: volume 361 Å³ per cell. Number 3: volume 144 Å³ per cell. Number 4: volume 88 Å³ per cell.